Here is a relaxed structure of TaBTeI2 from the Alexandria database. Energies are from PBE.

The structure in POSCAR format:
```
TaBTeI2
1.0
5.586 0.000 0.000
0.000 5.586 0.000
0.000 0.000 5.401
Te B I Ta
1 1 2 1
direct
0.000 0.000 0.500
0.500 0.500 0.500
0.500 0.000 0.000
0.000 0.500 0.000
0.000 0.000 0.000
```

Results
- total moment (Bohr magnetons per cell) = 0.91
- total energy (eV/atom) = -3.784
- density of states at the Fermi level (states/eV per cell) = 4.677